[1]
This record from Alexandria via LeMat-Bulk describes crystalline TiInGe2S at its relaxed geometry. The functional is PBE.

a = 5.0620 Å, b = 5.0620 Å, c = 5.3495 Å
α = 90.00°, β = 90.00°, γ = 90.00°
Fractional coordinates of all 5 atoms:
Ti 0.0000 0.0000 0.0000
In 0.0000 0.0000 0.5000
Ge 0.0000 0.5000 0.5000
Ge 0.5000 0.0000 0.5000
S 0.5000 0.5000 0.0000

Results
Its total moment is 0.0 μB/f.u. Its uncorrected formation energy is 1.14 eV per atom. Its density is 4.12 g/cm³.

[2]
This record from Alexandria via LeMat-Bulk describes crystalline Tl2InGeS4 at its relaxed geometry. The functional is PBE.

a = 13.2916 Å, b = 11.8247 Å, c = 7.5340 Å
α = 83.58°, β = 62.14°, γ = 34.28°
Fractional coordinates of all 16 atoms:
Tl 0.0683 0.0683 0.6817
Tl 0.3183 0.3183 0.9317
Tl 0.6817 0.6817 0.0683
Tl 0.9317 0.9317 0.3183
In 0.1250 0.1250 0.1250
In 0.8750 0.8750 0.8750
Ge 0.3750 0.3750 0.3750
Ge 0.6250 0.6250 0.6250
S 0.0190 0.3321 0.4439
S 0.2950 0.5561 0.6679
S 0.3321 0.0190 0.7050
S 0.4439 0.7050 0.0190
S 0.5561 0.2950 0.9810
S 0.6679 0.9810 0.2950
S 0.7050 0.4439 0.3321
S 0.9810 0.6679 0.5561

Results
Its total moment is 0.0 μB/f.u. Its uncorrected formation energy is -0.30 eV per atom. Its density is 4.89 g/cm³.

[3]
This record from Alexandria via LeMat-Bulk describes crystalline TlInGeS4 at its relaxed geometry. The functional is PBE.

a = 7.6587 Å, b = 7.6587 Å, c = 7.5396 Å
α = 90.00°, β = 90.00°, γ = 110.78°
Fractional coordinates of all 14 atoms:
Tl 0.0000 0.0000 0.0000
Tl 0.0000 0.0000 0.5000
In 0.3743 0.6257 0.7500
In 0.6257 0.3743 0.2500
Ge 0.3667 0.6333 0.2500
Ge 0.6333 0.3667 0.7500
S 0.2569 0.7431 0.0161
S 0.2569 0.7431 0.4839
S 0.2814 0.3200 0.2500
S 0.3200 0.2814 0.7500
S 0.6800 0.7186 0.2500
S 0.7186 0.6800 0.7500
S 0.7431 0.2569 0.5161
S 0.7431 0.2569 0.9839

Results
Its total moment is 0.0 μB/f.u. Its uncorrected formation energy is -0.42 eV per atom. Its density is 4.18 g/cm³.

[4]
This record from Alexandria via LeMat-Bulk describes crystalline TlIn2GeS6 at its relaxed geometry. The functional is PBE.

a = 9.0067 Å, b = 9.0067 Å, c = 7.2279 Å
α = 105.32°, β = 105.32°, γ = 96.56°
Fractional coordinates of all 20 atoms:
Tl 0.1122 0.8878 0.7500
Tl 0.8878 0.1122 0.2500
In 0.2953 0.4665 0.8553
In 0.4665 0.2953 0.3553
In 0.5335 0.7047 0.6447
In 0.7047 0.5335 0.1447
Ge 0.1679 0.8321 0.2500
Ge 0.8321 0.1679 0.7500
S 0.0610 0.1979 0.6791
S 0.1062 0.6385 0.9526
S 0.1979 0.0610 0.1791
S 0.2938 0.4611 0.5000
S 0.3615 0.8938 0.5474
S 0.4611 0.2938 0.0000
S 0.5389 0.7062 0.0000
S 0.6385 0.1062 0.4526
S 0.7062 0.5389 0.5000
S 0.8021 0.9390 0.8209
S 0.8938 0.3615 0.0474
S 0.9390 0.8021 0.3209

Results
Its total moment is 0.0 μB/f.u. Its uncorrected formation energy is -0.32 eV per atom. Its density is 4.34 g/cm³.

[5]
This record from Alexandria via LeMat-Bulk describes crystalline In2GeSb at its relaxed geometry. The functional is PBE.

a = 3.1632 Å, b = 4.1016 Å, c = 8.1716 Å
α = 90.00°, β = 90.01°, γ = 90.00°
Fractional coordinates of all 4 atoms:
In 0.0000 0.0000 0.0000
In 0.4972 0.5000 0.7401
Ge 0.5005 0.5000 0.2153
Sb 0.4986 0.0000 0.4495

Results
Its total moment is 0.0 μB/f.u. The value obtained for the energy above the lowest structure with this stoichiometry is 12 meV per atom. Its uncorrected formation energy is 0.09 eV per atom. Its density is 6.64 g/cm³.

[6]
This record from Alexandria via LeMat-Bulk describes crystalline In2GeSb at its relaxed geometry. The functional is PBE.

a = 6.0988 Å, b = 6.2359 Å, c = 6.3325 Å
α = 88.46°, β = 62.81°, γ = 88.48°
Fractional coordinates of all 8 atoms:
In 0.0000 0.0000 0.0000
In 0.0976 0.8035 0.4805
In 0.5706 0.3038 0.5335
In 0.8325 0.4840 0.9735
Ge 0.3140 0.4914 0.9972
Ge 0.5130 0.8764 0.9548
Sb 0.1099 0.3051 0.4506
Sb 0.5945 0.8145 0.4888

Results
Its total moment is 0.0 μB/f.u. The value obtained for the energy above the lowest structure with this stoichiometry is 18 meV per atom. Its uncorrected formation energy is 0.10 eV per atom. Its density is 6.58 g/cm³.